This record from the Alexandria database describes a geometry-optimized Np2ZnSi3Ir4 structure. The functional is PBE.

## Properties
For the uncorrected formation energy, the calculation gives -0.622 eV/atom. Its calculated volume is 171.0 Å³/cell. The total magnetization comes out at 7.144 μB per formula unit. The space group is P-4m2. The crystal system is tetragonal.

abc: 4.076 4.076 10.293
angles: 90.00 90.00 90.00
Fractional positions:
Np (0.000, 0.500, 0.244)
Np (0.500, 0.000, 0.756)
Zn (0.500, 0.500, 0.000)
Si (0.000, 0.000, 0.000)
Si (0.000, 0.500, 0.626)
Si (0.500, 0.000, 0.374)
Ir (0.000, 0.000, 0.500)
Ir (0.000, 0.500, 0.855)
Ir (0.500, 0.000, 0.145)
Ir (0.500, 0.500, 0.500)